# 1
# Zr2B, relaxed, DFT GGA-PBE
# formation energy from the elements: -400 meV per atom
# V: 207 Å³ per cell
# total magnetic moment: 0.000 μB per atom
# DOS(E_F): 4.94 states/eV per cell
data_Zr2B
_cell_length_a 10.641
_cell_length_b 3.434
_cell_length_c 7.444
_cell_angle_alpha 90.00
_cell_angle_beta 130.59
_cell_angle_gamma 90.00
_space_group_name_H-M_alt 'C 1 2/m 1'
_space_group_IT_number 12
loop_
_space_group_symop_operation_xyz
'x,y,z'
'-x,-y,-z'
'-x,y,-z'
'x,-y,z'
'x+1/2,y+1/2,z'
'-x+1/2,-y+1/2,-z'
'-x+1/2,y+1/2,-z'
'x+1/2,-y+1/2,z'
loop_
_atom_site_label
_atom_site_type_symbol
_atom_site_fract_x
_atom_site_fract_y
_atom_site_fract_z
Zr1 Zr 0.077 0.000 0.371
Zr2 Zr 0.178 0.500 0.082
B1 B 0.098 0.500 0.644



# 2
# Zr2B, relaxed, DFT GGA-PBE
# formation energy from the elements: -471 meV per atom
# V: 307 Å³ per cell
# total magnetic moment: 0.000 μB per atom
# DOS(E_F): 9.84 states/eV per cell
data_Zr2B
_cell_length_a 3.2083
_cell_length_b 3.2083
_cell_length_c 34.4935
_cell_angle_alpha 90.00
_cell_angle_beta 90.00
_cell_angle_gamma 120.00
_space_group_name_H-M_alt 'R -3 m'
_space_group_IT_number 166
_space_group_name_Hall '-R 3 2"'
loop_
_atom_site_label
_atom_site_type_symbol
_atom_site_fract_x
_atom_site_fract_y
_atom_site_fract_z
Zr1 Zr 0.0000 0.0000 0.0500
Zr2 Zr 0.0000 0.0000 0.2036
B1 B 0.0000 0.0000 0.3335



# 3
# Zr2B, relaxed, DFT GGA-PBE
# formation energy from the elements: -304 meV per atom
# V: 169 Å³ per cell
# total magnetic moment: 0.000 μB per atom
# DOS(E_F): 10.72 states/eV per cell
data_Zr2B
_cell_length_a 3.4574
_cell_length_b 3.4574
_cell_length_c 16.3235
_cell_angle_alpha 90.00
_cell_angle_beta 90.00
_cell_angle_gamma 120.00
_space_group_name_H-M_alt 'R -3 m'
_space_group_IT_number 166
_space_group_name_Hall '-R 3 2"'
loop_
_atom_site_label
_atom_site_type_symbol
_atom_site_fract_x
_atom_site_fract_y
_atom_site_fract_z
Zr1 Zr 0.0000 0.0000 0.2475
B1 B 0.0000 0.0000 0.5000



# 4
# ZrB6, relaxed, DFT GGA-PBE
# formation energy from the elements: -17 meV per atom
# V: 67 Å³ per cell
# total magnetic moment: 0.000 μB per atom
# DOS(E_F): 1.70 states/eV per cell
data_ZrB6
_cell_length_a 4.057
_cell_length_b 4.057
_cell_length_c 4.057
_cell_angle_alpha 90.00
_cell_angle_beta 90.00
_cell_angle_gamma 90.00
_space_group_name_H-M_alt 'P m -3 m'
_space_group_IT_number 221
_space_group_name_Hall '-P 4 2 3'
loop_
_atom_site_label
_atom_site_type_symbol
_atom_site_fract_x
_atom_site_fract_y
_atom_site_fract_z
Zr1 Zr 0.000 0.000 0.000
B1 B 0.198 0.500 0.500



# 5
# ZrB12, relaxed, DFT GGA-PBE
# formation energy from the elements: -217 meV per atom
# V: 406 Å³ per cell
# total magnetic moment: 0.000 μB per atom
# DOS(E_F): 4.16 states/eV per cell
data_ZrB12
_cell_length_a 7.408
_cell_length_b 7.408
_cell_length_c 7.408
_cell_angle_alpha 90.00
_cell_angle_beta 90.00
_cell_angle_gamma 90.00
_space_group_name_H-M_alt 'F m -3 m'
_space_group_IT_number 225
_space_group_name_Hall '-F 4 2 3'
loop_
_atom_site_label
_atom_site_type_symbol
_atom_site_fract_x
_atom_site_fract_y
_atom_site_fract_z
Zr1 Zr 0.000 0.000 0.000
B1 B 0.000 0.169 0.331



# 6
# Zr2B, relaxed, DFT GGA-PBE
# formation energy from the elements: -273 meV per atom
# V: 110 Å³ per cell
# total magnetic moment: 0.000 μB per atom
# DOS(E_F): 5.74 states/eV per cell
data_Zr2B
_cell_length_a 6.049
_cell_length_b 3.104
_cell_length_c 6.101
_cell_angle_alpha 90.00
_cell_angle_beta 106.97
_cell_angle_gamma 90.00
_space_group_name_H-M_alt 'P 1 21/m 1'
_space_group_IT_number 11
loop_
_space_group_symop_operation_xyz
'x,y,z'
'-x,-y,-z'
'-x,y+1/2,-z'
'x,-y+1/2,z'
loop_
_atom_site_label
_atom_site_type_symbol
_atom_site_fract_x
_atom_site_fract_y
_atom_site_fract_z
Zr1 Zr 0.218 0.250 0.160
Zr2 Zr 0.231 0.750 0.668
B1 B 0.495 0.250 0.941



# 7
# Zr2B, relaxed, DFT GGA-PBE
# formation energy from the elements: -426 meV per atom
# V: 203 Å³ per cell
# total magnetic moment: 0.000 μB per atom
# DOS(E_F): 9.71 states/eV per cell
data_Zr2B
_cell_length_a 3.491
_cell_length_b 18.009
_cell_length_c 3.223
_cell_angle_alpha 90.00
_cell_angle_beta 90.00
_cell_angle_gamma 90.00
_space_group_name_H-M_alt 'C m c m'
_space_group_IT_number 63
_space_group_name_Hall '-C 2c 2'
loop_
_atom_site_label
_atom_site_type_symbol
_atom_site_fract_x
_atom_site_fract_y
_atom_site_fract_z
Zr1 Zr 0.000 0.076 0.250
Zr2 Zr 0.000 0.306 0.250
B1 B 0.000 0.475 0.250



# 8
# ZrB4, relaxed, DFT GGA-PBE
# formation energy from the elements: -363 meV per atom
# V: 189 Å³ per cell
# total magnetic moment: 0.000 μB per atom
# DOS(E_F): 6.08 states/eV per cell
data_ZrB4
_cell_length_a 6.938
_cell_length_b 6.938
_cell_length_c 3.925
_cell_angle_alpha 90.00
_cell_angle_beta 90.00
_cell_angle_gamma 90.00
_space_group_name_H-M_alt 'P 4/m b m'
_space_group_IT_number 127
_space_group_name_Hall '-P 4 2ab'
loop_
_atom_site_label
_atom_site_type_symbol
_atom_site_fract_x
_atom_site_fract_y
_atom_site_fract_z
Zr1 Zr 0.179 0.321 0.000
B1 B 0.000 0.000 0.201
B2 B 0.037 0.821 0.500
B3 B 0.086 0.586 0.500



# 9
# Zr2B, relaxed, DFT GGA-PBE
# formation energy from the elements: -457 meV per atom
# V: 308 Å³ per cell
# total magnetic moment: 0.000 μB per atom
# DOS(E_F): 13.51 states/eV per cell
data_Zr2B
_cell_length_a 3.2112
_cell_length_b 3.2112
_cell_length_c 34.5181
_cell_angle_alpha 90.00
_cell_angle_beta 90.00
_cell_angle_gamma 120.00
_space_group_name_H-M_alt 'R 3 m'
_space_group_IT_number 160
_space_group_name_Hall 'R 3 -2"'
loop_
_atom_site_label
_atom_site_type_symbol
_atom_site_fract_x
_atom_site_fract_y
_atom_site_fract_z
Zr1 Zr 0.0000 0.0000 0.0000
Zr2 Zr 0.0000 0.0000 0.1000
Zr3 Zr 0.0000 0.0000 0.2533
Zr4 Zr 0.0000 0.0000 0.5132
B1 B 0.0000 0.0000 0.3833
B2 B 0.0000 0.0000 0.7166



# 10
# Zr2B, relaxed, DFT GGA-PBE
# formation energy from the elements: -355 meV per atom
# V: 211 Å³ per cell
# total magnetic moment: 0.000 μB per atom
# DOS(E_F): 11.59 states/eV per cell
data_Zr2B
_cell_length_a 10.945
_cell_length_b 3.368
_cell_length_c 6.385
_cell_angle_alpha 90.00
_cell_angle_beta 116.06
_cell_angle_gamma 90.00
_space_group_name_H-M_alt 'C 1 2/m 1'
_space_group_IT_number 12
loop_
_space_group_symop_operation_xyz
'x,y,z'
'-x,-y,-z'
'-x,y,-z'
'x,-y,z'
'x+1/2,y+1/2,z'
'-x+1/2,-y+1/2,-z'
'-x+1/2,y+1/2,-z'
'x+1/2,-y+1/2,z'
loop_
_atom_site_label
_atom_site_type_symbol
_atom_site_fract_x
_atom_site_fract_y
_atom_site_fract_z
Zr1 Zr 0.028 0.000 0.274
Zr2 Zr 0.222 0.500 0.779
B1 B 0.086 0.500 0.027



# 11
# ZrB4, relaxed, DFT GGA-PBE
# formation energy from the elements: 2698 meV per atom
# V: 91 Å³ per cell
# total magnetic moment: 0.000 μB per atom
# DOS(E_F): 2.88 states/eV per cell
data_ZrB4
_cell_length_a 4.495
_cell_length_b 4.495
_cell_length_c 4.495
_cell_angle_alpha 90.00
_cell_angle_beta 90.00
_cell_angle_gamma 90.00
_space_group_name_H-M_alt 'P m -3 m'
_space_group_IT_number 221
_space_group_name_Hall '-P 4 2 3'
loop_
_atom_site_label
_atom_site_type_symbol
_atom_site_fract_x
_atom_site_fract_y
_atom_site_fract_z
Zr1 Zr 0.000 0.000 0.000
B1 B 0.000 0.000 0.500
B2 B 0.500 0.500 0.500



# 12
# Zr2B, relaxed, DFT GGA-PBE
# formation energy from the elements: -434 meV per atom
# V: 204 Å³ per cell
# total magnetic moment: 0.000 μB per atom
# DOS(E_F): 9.75 states/eV per cell
data_Zr2B
_cell_length_a 12.683
_cell_length_b 3.259
_cell_length_c 5.014
_cell_angle_alpha 90.00
_cell_angle_beta 100.39
_cell_angle_gamma 90.00
_space_group_name_H-M_alt 'C 1 2/m 1'
_space_group_IT_number 12
loop_
_space_group_symop_operation_xyz
'x,y,z'
'-x,-y,-z'
'-x,y,-z'
'x,-y,z'
'x+1/2,y+1/2,z'
'-x+1/2,-y+1/2,-z'
'-x+1/2,y+1/2,-z'
'x+1/2,-y+1/2,z'
loop_
_atom_site_label
_atom_site_type_symbol
_atom_site_fract_x
_atom_site_fract_y
_atom_site_fract_z
Zr1 Zr 0.081 0.000 0.298
Zr2 Zr 0.157 0.500 0.836
B1 B 0.235 0.500 0.406



Repeat the first record exactly.
# Zr2B, relaxed, DFT GGA-PBE
# formation energy from the elements: -400 meV per atom
# V: 207 Å³ per cell
# total magnetic moment: 0.000 μB per atom
# DOS(E_F): 4.94 states/eV per cell
data_Zr2B
_cell_length_a 10.641
_cell_length_b 3.434
_cell_length_c 7.444
_cell_angle_alpha 90.00
_cell_angle_beta 130.59
_cell_angle_gamma 90.00
_space_group_name_H-M_alt 'C 1 2/m 1'
_space_group_IT_number 12
loop_
_space_group_symop_operation_xyz
'x,y,z'
'-x,-y,-z'
'-x,y,-z'
'x,-y,z'
'x+1/2,y+1/2,z'
'-x+1/2,-y+1/2,-z'
'-x+1/2,y+1/2,-z'
'x+1/2,-y+1/2,z'
loop_
_atom_site_label
_atom_site_type_symbol
_atom_site_fract_x
_atom_site_fract_y
_atom_site_fract_z
Zr1 Zr 0.077 0.000 0.371
Zr2 Zr 0.178 0.500 0.082
B1 B 0.098 0.500 0.644



> What is the formation energy from the elements in the fifth record?

-217 meV per atom



> The lowest V belongs to which entry?

ZrB6



> formation energy from the elements of number 11 (ZrB4)?

2698 meV per atom